[1]
Density functional theory data (SCAN) for a crystal of SrSc2As relaxed with PBEsol.

```
SrSc2As
1.0
3.2964 -0.0054 0.0000
-0.0986 5.5138 0.0000
-1.5989 -2.7542 5.3150
Sr Sc As
1 2 1
direct
0.5000 0.0000 0.0000
0.0000 0.0000 0.5000
0.5000 0.5000 0.5000
0.0000 0.5000 0.0000
```

---

[2]
Density functional theory data (SCAN) for a crystal of SrSc2As relaxed with PBEsol.

```
SrSc2As
1.0
-1.1689 -0.8684 -3.4357
1.9880 -2.3507 -2.1087
-4.7746 -8.5857 1.7679
Sc Sr As
2 1 1
direct
0.8841 0.8841 0.3476
0.1159 0.1159 0.6524
0.0000 0.0000 0.0000
0.5000 0.5000 0.5000
```

---

[3]
Density functional theory data (SCAN) for a crystal of SrSc2As relaxed with PBEsol.

```
SrSc2As
1.0
3.7723 0.0000 0.0000
0.0000 4.7037 0.0000
-1.8861 -2.3519 5.5556
Sc Sr As
2 1 1
direct
0.7468 0.2468 0.4936
0.9424 0.9424 0.8847
0.5396 0.5396 0.0791
0.2713 0.7713 0.5426
```

---

[4]
Density functional theory data (SCAN) for a crystal of Sr2ScTcAs relaxed with PBEsol.

```
Sr2ScTcAs
1.0
-4.3604 -1.7090 -0.2966
1.6668 -4.7302 2.7505
-1.3007 2.4504 5.0022
Sr Tc As Sc
2 1 1 1
direct
0.0000 0.0000 0.5000
0.0000 0.5000 0.0000
0.0000 0.0000 0.0000
0.5000 0.0000 0.0000
0.5000 0.5000 0.5000
```

---

[5]
Density functional theory data (SCAN) for a crystal of SrScTcAs2 relaxed with PBEsol.

```
SrScTcAs2
1.0
-3.2256 -1.3451 3.6499
-1.4260 -4.2711 -2.8343
3.8394 -2.8391 2.3468
As Sc Tc Sr
2 1 1 1
direct
0.0000 0.5000 0.0000
0.0000 0.0000 0.5000
0.5000 0.0000 0.0000
0.5000 0.5000 0.5000
0.0000 0.0000 0.0000
```

---

[6]
Density functional theory data (SCAN) for a crystal of ScTa2As relaxed with PBEsol.

```
ScTa2As
1.0
3.9077 0.0000 0.0000
0.0000 3.9077 0.0000
0.0000 0.0000 4.5356
Sc Ta As
1 2 1
direct
0.0000 0.0000 0.5000
0.0000 0.5000 0.0000
0.5000 0.0000 0.0000
0.5000 0.5000 0.5000
```

---

[7]
Density functional theory data (SCAN) for a crystal of ScTa2As relaxed with PBEsol.

```
ScTa2As
1.0
3.3010 0.0000 0.0000
-1.6505 4.5412 -0.0088
0.0000 -1.2259 4.6903
Sc Ta As
1 2 1
direct
0.7629 0.5258 0.2686
0.9965 0.9930 0.9904
0.2361 0.4723 0.7306
0.5045 0.0090 0.5104
```

---

[8]
Density functional theory data (SCAN) for a crystal of ScTc2As relaxed with PBEsol.

```
ScTc2As
1.0
-0.4401 0.6155 -2.8651
-1.2044 -2.6793 -0.3906
-6.5227 2.7016 1.5824
Tc Sc As
2 1 1
direct
0.5000 0.5000 0.2498
0.0000 0.0000 0.0273
0.5000 0.5000 0.7631
0.0000 0.0000 0.4598
```

---

| no. | magnetization (μB per cell) | DFT formation energy (eV/atom) |
| --- | --- | --- |
| 1 | 0.0 | -0.131 |
| 2 | 0.1 | -0.442 |
| 3 | 0.0 | -0.361 |
| 4 | 0.6 | 0.447 |
| 5 | 2.6 | 1.739 |
| 6 | 0.0 | -0.230 |
| 7 | 0.0 | -0.157 |
| 8 | 0.0 | -0.302 |